[1]
H2Ir after structural relaxation, computed with PBE.

The calculation puts the raw total energy at -4.281 eV/atom.

The space group is Fd-3m (No. 227, origin choice 2) and the conventional cell measures 7.582, 7.582 and 7.582 Å, with angles of 90.00, 90.00 and 90.00 degrees. Symmetry generates all atoms from H at (0.000, 0.000, 0.000) and Ir at (0.125, 0.125, 0.125).

---

[2]
Li2ZnSnAu4 after structural relaxation, computed with PBE.

The calculation puts the raw total energy at -3.180 eV/atom.

The space group is P4/mmm (No. 123) and the conventional cell measures 4.484, 4.484 and 6.772 Å, with angles of 90.00, 90.00 and 90.00 degrees. Symmetry generates all atoms from Li at (0.000, 0.000, 0.000), Li at (0.500, 0.500, 0.500), Zn at (0.000, 0.000, 0.500), Sn at (0.500, 0.500, 0.000) and Au at (0.000, 0.500, 0.273).

---

[3]
ZnP after structural relaxation, computed with PBE.

The calculation puts the raw total energy at -3.176 eV/atom.

The space group is Fm-3m (No. 225) and the conventional cell measures 5.050, 5.050 and 5.050 Å, with angles of 90.00, 90.00 and 90.00 degrees. Symmetry generates all atoms from Zn at (0.000, 0.000, 0.000) and P at (0.000, 0.000, 0.500).

---

[4]
LaHo2Cd3AgAu2 after structural relaxation, computed with PBE.

The calculation puts the raw total energy at -3.478 eV/atom. The formation energy comes out at -576 meV per atom.

The space group is Amm2 (No. 38) and the conventional cell measures 3.883, 13.777 and 7.896 Å, with angles of 90.00, 90.00 and 90.00 degrees. Symmetry generates all atoms from La at (0.000, 0.000, 0.000), Ho at (0.000, 0.204, 0.388), Cd at (0.500, 0.000, 0.337), Cd at (0.500, 0.133, 0.721), Ag at (0.000, 0.000, 0.590) and Au at (0.500, 0.171, 0.096).

---

[5]
ZnMo after structural relaxation, computed with PBE.

The calculation puts the raw total energy at -5.942 eV/atom. The formation energy comes out at 115 meV per atom. For the energy above the lowest structure with this stoichiometry, the calculation gives 54 meV/atom.

The space group is P2_1/m (No. 11) and the conventional cell measures 5.425, 4.467 and 7.578 Å, with angles of 90.00, 93.94 and 90.00 degrees. Symmetry generates all atoms from Zn at (0.091, 0.250, 0.069), Zn at (0.274, 0.250, 0.740), Zn at (0.403, 0.750, 0.922), Mo at (0.080, 0.750, 0.572), Mo at (0.232, 0.750, 0.261) and Mo at (0.422, 0.250, 0.399).

---

[6]
RbGdTe3Pb after structural relaxation, computed with PBE.

The calculation puts the raw total energy at -4.037 eV/atom.

The space group is Cmcm (No. 63) and the conventional cell measures 4.537, 17.137 and 12.824 Å, with angles of 90.00, 90.00 and 90.00 degrees. Symmetry generates all atoms from Rb at (0.000, 0.217, 0.250), Gd at (0.000, 0.500, 0.000), Te at (0.000, 0.126, 0.511), Te at (0.000, 0.463, 0.750) and Pb at (0.000, 0.082, 0.750).

---

[7]
NpGaIr after structural relaxation, computed with PBE.

The calculation puts the raw total energy at -7.826 eV/atom.

The space group is F-43m (No. 216) and the conventional cell measures 6.405, 6.405 and 6.405 Å, with angles of 90.00, 90.00 and 90.00 degrees. Symmetry generates all atoms from Np at (0.000, 0.000, 0.000), Ga at (0.250, 0.250, 0.750) and Ir at (0.250, 0.250, 0.250).

---

[8]
HoGePt after structural relaxation, computed with PBE.

The calculation puts the raw total energy at -6.223 eV/atom.

The space group is Pnma (No. 62) and the conventional cell measures 7.018, 4.363 and 7.624 Å, with angles of 90.00, 90.00 and 90.00 degrees. Symmetry generates all atoms from Ho at (0.004, 0.250, 0.202), Ge at (0.188, 0.250, 0.589) and Pt at (0.206, 0.750, 0.415).

---

Q: Which formula does entry 3 have?
A: ZnP